Record 1
Here is a geometry-optimized Li2CeMg2Pb2 structure from the Alexandria database. Energies are from PBE-GGA.

The structure in extended XYZ format:
```
7
Lattice="2.393 1.382 8.470 -2.393 1.382 8.470 0.000 -2.763 8.470" Properties=species:S:1:pos:R:3 pbc="T T T"
Li 0.000 0.000 1.772
Li 0.000 0.000 23.638
Ce 0.000 0.000 12.705
Mg 0.000 0.000 9.217
Mg 0.000 0.000 16.193
Pb 0.000 0.000 6.109
Pb 0.000 0.000 19.302
```

Results
Space group: No. 166
Spin magnetization, Bohr magnetons per cell: 1.1
Calculated total energy, Ry per atom: -0.2348
Calculated formation energy, eV per atom: -0.286


Record 2
Here is a geometry-optimized LiCeMg2Pd4 structure from the Alexandria database. Energies are from PBE-GGA.

The structure in extended XYZ format:
```
8
Lattice="2.250 1.299 8.118 -2.250 1.299 8.118 0.000 -2.598 8.118" Properties=species:S:1:pos:R:3 pbc="T T T"
Li 0.000 0.000 0.000
Ce 0.000 0.000 12.177
Mg 0.000 0.000 6.420
Mg 0.000 0.000 17.935
Pd 0.000 0.000 2.581
Pd 0.000 0.000 9.127
Pd 0.000 0.000 15.227
Pd 0.000 0.000 21.773
```

Results
Space group: No. 166
Spin magnetization, Bohr magnetons per cell: 0.6
Calculated total energy, Ry per atom: -0.3389
Calculated formation energy, eV per atom: -0.634


Record 3
Here is a geometry-optimized LiCePmMg structure from the Alexandria database. Energies are from PBE-GGA.

The structure in extended XYZ format:
```
16
Lattice="7.516 0.000 0.000 0.000 7.516 0.000 0.000 0.000 7.516" Properties=species:S:1:pos:R:3 pbc="T T T"
Li 0.000 0.000 0.000
Li 0.000 3.758 3.758
Li 3.758 0.000 3.758
Li 3.758 3.758 0.000
Ce 1.879 1.879 1.879
Ce 1.879 5.637 5.637
Ce 5.637 1.879 5.637
Ce 5.637 5.637 1.879
Pm 0.000 0.000 3.758
Pm 0.000 3.758 0.000
Pm 3.758 0.000 0.000
Pm 3.758 3.758 3.758
Mg 1.879 1.879 5.637
Mg 1.879 5.637 1.879
Mg 5.637 1.879 1.879
Mg 5.637 5.637 5.637
```

Results
Space group: No. 216
Spin magnetization, Bohr magnetons per cell: 8.2
Calculated total energy, Ry per atom: -0.2460
Calculated formation energy, eV per atom: 0.202


Record 4
Here is a geometry-optimized LiCeMgRu structure from the Alexandria database. Energies are from PBE-GGA.

The structure in extended XYZ format:
```
16
Lattice="6.734 0.000 0.000 0.000 6.734 0.000 0.000 0.000 6.734" Properties=species:S:1:pos:R:3 pbc="T T T"
Li 0.000 0.000 0.000
Li 0.000 3.367 3.367
Li 3.367 0.000 3.367
Li 3.367 3.367 0.000
Ce 1.684 1.684 1.684
Ce 1.684 5.051 5.051
Ce 5.051 1.684 5.051
Ce 5.051 5.051 1.684
Mg 1.684 1.684 5.051
Mg 1.684 5.051 1.684
Mg 5.051 1.684 1.684
Mg 5.051 5.051 5.051
Ru 0.000 0.000 3.367
Ru 0.000 3.367 0.000
Ru 3.367 0.000 0.000
Ru 3.367 3.367 3.367
```

Results
Space group: No. 216
Spin magnetization, Bohr magnetons per cell: 1.1
Calculated total energy, Ry per atom: -0.3495
Calculated formation energy, eV per atom: -0.075


Record 5
Here is a geometry-optimized Li2CeMgS4 structure from the Alexandria database. Energies are from PBE-GGA.

The structure in extended XYZ format:
```
8
Lattice="6.493 0.000 0.000 0.000 3.916 0.000 -2.157 0.000 6.152" Properties=species:S:1:pos:R:3 pbc="T T T"
Li 0.000 0.000 0.000
Li -1.078 1.958 3.076
Ce 2.168 0.000 3.076
Mg 3.246 1.958 0.000
S 1.073 1.958 1.514
S 0.032 0.000 4.687
S 4.304 0.000 1.465
S 3.263 1.958 4.638
```

Results
Space group: No. 10
Spin magnetization, Bohr magnetons per cell: 0.0
Calculated total energy, Ry per atom: -0.3673
Formation energy from raw total energies, meV/atom: -1514


Record 6
Here is a geometry-optimized Li3Ce3MgS8 structure from the Alexandria database. Energies are from PBE-GGA.

The structure in extended XYZ format:
```
15
Lattice="3.967 2.291 6.083 -3.967 2.291 6.083 0.000 -4.581 6.083" Properties=species:S:1:pos:R:3 pbc="T T T"
Li -1.984 -1.145 6.083
Li -1.984 1.145 12.167
Li 0.000 2.291 6.083
Ce -3.967 0.000 9.125
Ce -1.984 1.145 3.042
Ce 1.984 1.145 3.042
Mg 0.000 0.000 9.125
S 0.000 0.000 4.621
S -1.918 -1.108 10.584
S 0.000 -2.215 7.666
S -1.918 1.108 7.666
S 1.918 -1.108 10.584
S 0.000 2.215 10.584
S 1.918 1.108 7.666
S 0.000 0.000 13.630
```

Results
Space group: No. 166
Spin magnetization, Bohr magnetons per cell: 1.1
Calculated total energy, Ry per atom: -0.4028
Formation energy from raw total energies, meV/atom: -1603


Record 7
Here is a geometry-optimized Li2CeMg2Sb2 structure from the Alexandria database. Energies are from PBE-GGA.

The structure in extended XYZ format:
```
7
Lattice="2.327 1.343 8.548 -2.327 1.343 8.548 0.000 -2.687 8.548" Properties=species:S:1:pos:R:3 pbc="T T T"
Li 0.000 0.000 1.743
Li 0.000 0.000 23.900
Ce 0.000 0.000 12.822
Mg 0.000 0.000 9.260
Mg 0.000 0.000 16.383
Sb 0.000 0.000 6.117
Sb 0.000 0.000 19.526
```

Results
Space group: No. 166
Spin magnetization, Bohr magnetons per cell: 1.4
Calculated total energy, Ry per atom: -0.2556
Formation energy from raw total energies, meV/atom: -450


Record 8
Here is a geometry-optimized LiCeMgSc structure from the Alexandria database. Energies are from PBE-GGA.

The structure in extended XYZ format:
```
16
Lattice="7.360 0.000 0.000 0.000 7.360 0.000 0.000 0.000 7.360" Properties=species:S:1:pos:R:3 pbc="T T T"
Li 0.000 0.000 0.000
Li 0.000 3.680 3.680
Li 3.680 0.000 3.680
Li 3.680 3.680 0.000
Ce 1.840 1.840 1.840
Ce 1.840 5.520 5.520
Ce 5.520 1.840 5.520
Ce 5.520 5.520 1.840
Mg 0.000 0.000 3.680
Mg 0.000 3.680 0.000
Mg 3.680 0.000 0.000
Mg 3.680 3.680 3.680
Sc 1.840 1.840 5.520
Sc 1.840 5.520 1.840
Sc 5.520 1.840 1.840
Sc 5.520 5.520 5.520
```

Results
Space group: No. 216
Spin magnetization, Bohr magnetons per cell: 5.3
Calculated total energy, Ry per atom: -0.2785
Calculated formation energy, eV per atom: 0.154


Record 9
Here is a geometry-optimized Li2CeMgSe4 structure from the Alexandria database. Energies are from PBE-GGA.

The structure in extended XYZ format:
```
8
Lattice="6.831 0.000 0.000 0.000 4.082 0.000 -2.272 0.000 6.442" Properties=species:S:1:pos:R:3 pbc="T T T"
Li 0.000 0.000 0.000
Li -1.136 2.041 3.221
Ce 2.279 0.000 3.221
Mg 3.415 2.041 0.000
Se 1.108 2.041 1.581
Se 0.018 0.000 4.903
Se 4.541 0.000 1.539
Se 3.450 2.041 4.861
```

Results
Space group: No. 10
Spin magnetization, Bohr magnetons per cell: 0.0
Calculated total energy, Ry per atom: -0.3342
Formation energy from raw total energies, meV/atom: -1385


Record 10
Here is a geometry-optimized LiCeMgSe3 structure from the Alexandria database. Energies are from PBE-GGA.

The structure in extended XYZ format:
```
12
Lattice="8.058 0.000 0.000 0.000 4.016 0.000 -2.244 0.000 8.553" Properties=species:S:1:pos:R:3 pbc="T T T"
Li 0.560 1.004 0.801
Li 5.253 3.012 7.752
Ce -0.076 1.004 6.315
Ce 5.889 3.012 2.238
Mg 1.919 3.012 2.939
Mg 3.894 1.004 5.614
Se -0.048 1.004 3.183
Se 1.860 3.012 0.069
Se 2.024 3.012 5.632
Se 3.789 1.004 2.921
Se 3.954 1.004 8.484
Se 5.861 3.012 5.370
```

Results
Space group: No. 11
Spin magnetization, Bohr magnetons per cell: 2.0
Calculated total energy, Ry per atom: -0.3497
Formation energy from raw total energies, meV/atom: -1442


Record 11
Here is a geometry-optimized LiCe2MgSe4 structure from the Alexandria database. Energies are from PBE-GGA.

The structure in extended XYZ format:
```
8
Lattice="7.072 0.000 0.000 0.000 4.097 0.000 -2.324 0.000 6.696" Properties=species:S:1:pos:R:3 pbc="T T T"
Li 0.000 0.000 0.000
Ce 2.374 0.000 3.348
Ce 3.536 2.048 0.000
Mg -1.162 2.048 3.348
Se -0.133 0.000 4.958
Se 1.050 2.048 1.656
Se 3.697 2.048 5.040
Se 4.881 0.000 1.738
```

Results
Space group: No. 10
Spin magnetization, Bohr magnetons per cell: 2.8
Calculated total energy, Ry per atom: -0.3805
Formation energy from raw total energies, meV/atom: -1512


Record 12
Here is a geometry-optimized Li3Ce3MgSe8 structure from the Alexandria database. Energies are from PBE-GGA.

The structure in extended XYZ format:
```
15
Lattice="4.123 2.381 6.415 -4.123 2.381 6.415 0.000 -4.761 6.415" Properties=species:S:1:pos:R:3 pbc="T T T"
Li -2.062 -1.190 6.415
Li -2.062 1.190 12.831
Li 0.000 2.381 6.415
Ce -4.123 0.000 9.623
Ce -2.062 1.190 3.208
Ce 2.062 1.190 3.208
Mg 0.000 0.000 9.623
Se 0.000 0.000 4.890
Se 0.000 -2.315 8.055
Se -2.004 1.157 8.055
Se -2.004 -1.157 11.192
Se 2.004 1.157 8.055
Se 2.004 -1.157 11.192
Se 0.000 2.315 11.192
Se 0.000 0.000 14.356
```

Results
Space group: No. 166
Spin magnetization, Bohr magnetons per cell: 1.1
Calculated total energy, Ry per atom: -0.3682
Formation energy from raw total energies, meV/atom: -1475